[1]
Crystalline Tb6Hg3Se2S at its relaxed geometry. Source: Alexandria via LeMat-Bulk, functional GGA-PBE.

Cell and atoms, written as CIF:
```
data_Tb6Hg3Se2S
_cell_length_a 6.885
_cell_length_b 11.917
_cell_length_c 7.921
_cell_angle_alpha 90.00
_cell_angle_beta 106.84
_cell_angle_gamma 90.00
_space_group_name_H-M_alt 'C 1 2/m 1'
_space_group_IT_number 12
loop_
_space_group_symop_operation_xyz
'x,y,z'
'-x,-y,-z'
'-x,y,-z'
'x,-y,z'
'x+1/2,y+1/2,z'
'-x+1/2,-y+1/2,-z'
'-x+1/2,y+1/2,-z'
'x+1/2,-y+1/2,z'
loop_
_atom_site_label
_atom_site_fract_x
_atom_site_fract_y
_atom_site_fract_z
Tb1 0.236 0.163 0.221
Tb2 0.249 0.000 0.772
Hg1 0.000 0.174 0.500
Hg2 0.000 0.500 0.500
Se1 0.000 0.335 0.000
S1 0.000 0.000 0.000
```

The density of states at the Fermi level comes out at 11.59 states/eV/cell. As for the formation energy (no corrections): -1139.2 meV per atom.

***

[2]
Crystalline CaTbDy4 at its relaxed geometry. Source: Alexandria via LeMat-Bulk, functional GGA-PBE.

Cell and atoms, written as CIF:
```
data_CaTbDy4
_cell_length_a 17.449
_cell_length_b 3.612
_cell_length_c 6.291
_cell_angle_alpha 90.00
_cell_angle_beta 96.87
_cell_angle_gamma 90.00
_space_group_name_H-M_alt 'C 1 2/m 1'
_space_group_IT_number 12
loop_
_space_group_symop_operation_xyz
'x,y,z'
'-x,-y,-z'
'-x,y,-z'
'x,-y,z'
'x+1/2,y+1/2,z'
'-x+1/2,-y+1/2,-z'
'-x+1/2,y+1/2,-z'
'x+1/2,-y+1/2,z'
loop_
_atom_site_label
_atom_site_fract_x
_atom_site_fract_y
_atom_site_fract_z
Ca1 0.000 0.000 0.000
Tb1 0.000 0.500 0.500
Dy1 0.168 0.000 0.393
Dy2 0.172 0.500 0.887
```

The calculation puts the calculated formation energy at 0.056 eV per atom. The density of states at the Fermi level comes out at 18.16 states/eV/cell. Its energy above the most stable polymorph in this dataset is 0 meV per atom.

***

[3]
Crystalline As2OsI2 at its relaxed geometry. Source: Alexandria via LeMat-Bulk, functional GGA-PBE.

Cell and atoms, written as CIF:
```
data_As2OsI2
_cell_length_a 7.133
_cell_length_b 7.133
_cell_length_c 7.843
_cell_angle_alpha 90.00
_cell_angle_beta 90.00
_cell_angle_gamma 90.00
_space_group_name_H-M_alt 'P 4/m b m'
_space_group_IT_number 127
_space_group_name_Hall '-P 4 2ab'
loop_
_atom_site_label
_atom_site_fract_x
_atom_site_fract_y
_atom_site_fract_z
As1 0.106 0.394 0.000
Os1 0.000 0.000 0.500
I1 0.179 0.679 0.500
```

The density of states at the Fermi level comes out at 7.05 states/eV/cell. Its energy above the most stable polymorph in this dataset is 6 meV per atom. As for the formation energy (no corrections): 1004.1 meV per atom.

***

[4]
Crystalline Er6As3PSe2 at its relaxed geometry. Source: Alexandria via LeMat-Bulk, functional GGA-PBE.

Cell and atoms, written as CIF:
```
data_Er6As3PSe2
_cell_length_a 17.663
_cell_length_b 4.050
_cell_length_c 8.101
_cell_angle_alpha 90.00
_cell_angle_beta 103.17
_cell_angle_gamma 90.00
_space_group_name_H-M_alt 'C 1 2/m 1'
_space_group_IT_number 12
loop_
_space_group_symop_operation_xyz
'x,y,z'
'-x,-y,-z'
'-x,y,-z'
'x,-y,z'
'x+1/2,y+1/2,z'
'-x+1/2,-y+1/2,-z'
'-x+1/2,y+1/2,-z'
'x+1/2,-y+1/2,z'
loop_
_atom_site_label
_atom_site_fract_x
_atom_site_fract_y
_atom_site_fract_z
Er1 0.003 0.000 0.259
Er2 0.162 0.500 0.090
Er3 0.163 0.500 0.574
As1 0.000 0.500 0.000
As2 0.169 0.000 0.334
P1 0.000 0.500 0.500
Se1 0.167 0.000 0.835
```

The density of states at the Fermi level comes out at 6.45 states/eV/cell. As for the formation energy (no corrections): -1659.3 meV per atom.

***

[5]
Crystalline InWAu2 at its relaxed geometry. Source: Alexandria via LeMat-Bulk, functional GGA-PBE.

Cell and atoms, written as CIF:
```
data_InWAu2
_cell_length_a 2.9923
_cell_length_b 2.9923
_cell_length_c 28.3677
_cell_angle_alpha 90.00
_cell_angle_beta 90.00
_cell_angle_gamma 120.00
_space_group_name_H-M_alt 'R 3 m'
_space_group_IT_number 160
_space_group_name_Hall 'R 3 -2"'
loop_
_atom_site_label
_atom_site_fract_x
_atom_site_fract_y
_atom_site_fract_z
In1 0.0000 0.0000 0.0000
W1 0.0000 0.0000 0.7514
Au1 0.0000 0.0000 0.2476
Au2 0.0000 0.0000 0.4961
```

The calculation puts the calculated formation energy at 0.324 eV per atom. The density of states at the Fermi level comes out at 8.39 states/eV/cell.

***

[6]
Crystalline BaCr2P at its relaxed geometry. Source: Alexandria via LeMat-Bulk, functional GGA-PBE.

Cell and atoms, written as CIF:
```
data_BaCr2P
_cell_length_a 4.1869
_cell_length_b 4.1869
_cell_length_c 17.7367
_cell_angle_alpha 90.00
_cell_angle_beta 90.00
_cell_angle_gamma 120.00
_space_group_name_H-M_alt 'R 3 m'
_space_group_IT_number 160
_space_group_name_Hall 'R 3 -2"'
loop_
_atom_site_label
_atom_site_fract_x
_atom_site_fract_y
_atom_site_fract_z
Ba1 0.0000 0.0000 0.0000
Cr1 0.0000 0.0000 0.4992
Cr2 0.0000 0.0000 0.8080
P1 0.0000 0.0000 0.1868
```

The calculation puts the calculated formation energy at -0.148 eV per atom. The density of states at the Fermi level comes out at 5.56 states/eV/cell.

***

[7]
Crystalline LiCaTl at its relaxed geometry. Source: Alexandria via LeMat-Bulk, functional GGA-PBE.

Cell and atoms, written as CIF:
```
data_LiCaTl
_cell_length_a 3.7370
_cell_length_b 3.7370
_cell_length_c 7.2659
_cell_angle_alpha 90.00
_cell_angle_beta 90.00
_cell_angle_gamma 120.00
_space_group_name_H-M_alt 'P 3 m 1'
_space_group_IT_number 156
loop_
_space_group_symop_operation_xyz
'x,y,z'
'-y,x-y,z'
'-x+y,-x,z'
'-y,-x,z'
'-x+y,y,z'
'x,x-y,z'
loop_
_atom_site_label
_atom_site_fract_x
_atom_site_fract_y
_atom_site_fract_z
Li1 0.0000 0.0000 0.0000
Ca1 0.3333 0.6667 0.6194
Tl1 0.6667 0.3333 0.2732
```

The calculation puts the calculated formation energy at -0.102 eV per atom. The density of states at the Fermi level comes out at 0.87 states/eV/cell. Its energy above the most stable polymorph in this dataset is 195 meV per atom.

***

[8]
Crystalline BeRu2Pt at its relaxed geometry. Source: Alexandria via LeMat-Bulk, functional GGA-PBE.

Cell and atoms, written as CIF:
```
data_BeRu2Pt
_cell_length_a 3.709
_cell_length_b 3.709
_cell_length_c 7.741
_cell_angle_alpha 90.00
_cell_angle_beta 90.00
_cell_angle_gamma 90.00
_space_group_name_H-M_alt 'I 4/m m m'
_space_group_IT_number 139
_space_group_name_Hall '-I 4 2'
loop_
_atom_site_label
_atom_site_fract_x
_atom_site_fract_y
_atom_site_fract_z
Be1 0.000 0.000 0.000
Ru1 0.000 0.500 0.250
Pt1 0.000 0.000 0.500
```

The calculation puts the calculated formation energy at 0.000 eV per atom. The density of states at the Fermi level comes out at 8.90 states/eV/cell.

***

[9]
Crystalline CaTcSe2 at its relaxed geometry. Source: Alexandria via LeMat-Bulk, functional GGA-PBE.

Cell and atoms, written as CIF:
```
data_CaTcSe2
_cell_length_a 6.787
_cell_length_b 6.787
_cell_length_c 6.787
_cell_angle_alpha 90.00
_cell_angle_beta 90.00
_cell_angle_gamma 90.00
_space_group_name_H-M_alt 'F -4 3 m'
_space_group_IT_number 216
_space_group_name_Hall 'F -4 2 3'
loop_
_atom_site_label
_atom_site_fract_x
_atom_site_fract_y
_atom_site_fract_z
Ca1 0.000 0.000 0.000
Tc1 0.250 0.250 0.750
Se1 0.000 0.000 0.500
Se2 0.250 0.250 0.250
```

The density of states at the Fermi level comes out at 24.29 states/eV/cell. Its energy above the most stable polymorph in this dataset is 1074 meV per atom. As for the formation energy (no corrections): 319.9 meV per atom.

***

[10]
Crystalline BrCl4 at its relaxed geometry. Source: Alexandria via LeMat-Bulk, functional GGA-PBE.

Cell and atoms, written as CIF:
```
data_BrCl4
_cell_length_a 5.164
_cell_length_b 5.164
_cell_length_c 5.164
_cell_angle_alpha 90.00
_cell_angle_beta 90.00
_cell_angle_gamma 90.00
_space_group_name_H-M_alt 'P m -3 m'
_space_group_IT_number 221
_space_group_name_Hall '-P 4 2 3'
loop_
_atom_site_label
_atom_site_fract_x
_atom_site_fract_y
_atom_site_fract_z
Br1 0.000 0.000 0.000
Cl1 0.000 0.000 0.500
Cl2 0.500 0.500 0.500
```

The density of states at the Fermi level comes out at 9.38 states/eV/cell. Its energy above the most stable polymorph in this dataset is 475 meV per atom. As for the formation energy (no corrections): 524.7 meV per atom.

***

[11]
Crystalline YAgSnCl6 at its relaxed geometry. Source: Alexandria via LeMat-Bulk, functional GGA-PBE.

Cell and atoms, written as CIF:
```
data_YAgSnCl6
_cell_length_a 6.8835
_cell_length_b 6.8835
_cell_length_c 12.6258
_cell_angle_alpha 90.00
_cell_angle_beta 90.00
_cell_angle_gamma 120.00
_space_group_name_H-M_alt 'P -3 1 c'
_space_group_IT_number 163
_space_group_name_Hall '-P 3 2c'
loop_
_atom_site_label
_atom_site_fract_x
_atom_site_fract_y
_atom_site_fract_z
Y1 0.3333 0.6667 0.2500
Ag1 0.3333 0.6667 0.7500
Sn1 0.0000 0.0000 0.0000
Cl1 0.0135 0.3513 0.1291
```

The density of states at the Fermi level comes out at 0.00 states/eV/cell. As for the formation energy (no corrections): -1430.7 meV per atom.

***

[12]
Crystalline CaNi2Se at its relaxed geometry. Source: Alexandria via LeMat-Bulk, functional GGA-PBE.

Cell and atoms, written as CIF:
```
data_CaNi2Se
_cell_length_a 4.669
_cell_length_b 4.669
_cell_length_c 15.337
_cell_angle_alpha 90.00
_cell_angle_beta 90.00
_cell_angle_gamma 90.00
_space_group_name_H-M_alt 'I -4 2 d'
_space_group_IT_number 122
_space_group_name_Hall 'I -4 2bw'
loop_
_atom_site_label
_atom_site_fract_x
_atom_site_fract_y
_atom_site_fract_z
Ca1 0.000 0.000 0.000
Ni1 0.002 0.250 0.625
Se1 0.000 0.000 0.500
```

The density of states at the Fermi level comes out at 6.30 states/eV/cell. As for the formation energy (no corrections): -395.8 meV per atom.